Entry 1:
PBE-GGA NaNiGe2Pt, relaxed; polymorph energy (0 for the lowest one) = 0.000 eV/atom
1.0
-2.061 2.061 5.258
2.061 -2.061 5.258
2.061 2.061 -5.258
Na Ni Ge Pt
1 1 2 1
Direct
0.000 0.000 0.000 Na
0.750 0.250 0.500 Ni
0.377 0.377 0.000 Ge
0.623 0.623 0.000 Ge
0.250 0.750 0.500 Pt



Entry 2:
This record from Alexandria describes an optimized crystal structure of PmEuBeGe. The functional is PBE-GGA.

Cell and atoms, written as POSCAR:
```
PmEuBeGe
1.0
0.000 3.608 3.608
3.608 0.000 3.608
3.608 3.608 0.000
Pm Eu Be Ge
1 1 1 1
Direct
0.000 0.000 0.000 Pm
0.500 0.500 0.500 Eu
0.250 0.250 0.250 Be
0.750 0.750 0.750 Ge
```



Entry 3:
This record from Alexandria describes an optimized crystal structure of DyPuMnOs. The functional is PBE-GGA.

Cell and atoms, written as POSCAR:
```
DyPuMnOs
1.0
0.000 3.411 3.411
3.411 0.000 3.411
3.411 3.411 0.000
Dy Pu Mn Os
1 1 1 1
Direct
0.000 0.000 0.000 Dy
0.500 0.500 0.500 Pu
0.250 0.250 0.250 Mn
0.750 0.750 0.750 Os
```



Entry 4:
This record from Alexandria describes an optimized crystal structure of NiAsRu4. The functional is PBE-GGA.

Cell and atoms, written as POSCAR:
```
NiAsRu4
1.0
0.000 3.606 3.606
3.606 0.000 3.606
3.606 3.606 0.000
Ni As Ru
1 1 4
Direct
0.000 0.000 0.000 Ni
0.250 0.250 0.250 As
0.124 0.625 0.625 Ru
0.625 0.124 0.625 Ru
0.625 0.625 0.124 Ru
0.625 0.625 0.625 Ru
```



no.,ΔH_f (0 K) (eV/f.u.),spin magnetization (μB/f.u.)
1,-1.71,0.00
2,-0.71,7.34
3,-0.09,1.57
4,4.62,3.90